No. 1
A relaxed RePt2Se crystal. Source: the Alexandria database, functional PBE.

The structure in POSCAR format:
```
RePt2Se
1.0
-3.1336 3.1336 4.4853
3.1336 -3.1336 4.4853
3.1336 3.1336 -4.4853
Re Pt Se
2 4 2
Direct
0.0000 0.0000 0.0000
0.7500 0.2500 0.5000
0.1103 0.6250 0.9853
0.3750 0.3603 0.4853
0.6397 0.1250 0.0147
0.8750 0.8897 0.5147
0.2500 0.7500 0.5000
0.5000 0.5000 0.0000
```

Values from the calculation:
Density ... 12.35 g cm⁻³
Formation energy (no corrections) ... 0.6046 eV/atom
Symmetry ... No. 122
Fermi-level density of states ... 5.2 states/eV/cell



No. 2
A relaxed La2Se2Br crystal. Source: the Alexandria database, functional PBE.

The structure in POSCAR format:
```
La2Se2Br
1.0
8.3194 0.0000 0.0000
0.0000 8.3194 0.0000
0.0000 0.0000 3.9688
La Se Br
4 4 2
Direct
0.1567 0.3433 0.0000
0.3433 0.8433 0.0000
0.6567 0.1567 0.0000
0.8433 0.6567 0.0000
0.1410 0.6410 0.5000
0.3590 0.1410 0.5000
0.6410 0.8590 0.5000
0.8590 0.3590 0.5000
0.0000 0.0000 0.0000
0.5000 0.5000 0.0000
```

Values from the calculation:
Density ... 6.23 g cm⁻³
Formation energy (no corrections) ... -1.9668 eV/atom
Symmetry ... No. 127
Fermi-level density of states ... 3.1 states/eV/cell
Energy relative to the lowest polymorph listed for this composition ... 0 meV/atom



No. 3
A relaxed Hf2Zr3Tc2 crystal. Source: the Alexandria database, functional PBE.

The structure in POSCAR format:
```
Hf2Zr3Tc2
1.0
5.6096 -1.6764 0.0000
5.6096 1.6764 0.0000
-3.9191 0.0000 7.6978
Hf Zr Tc
2 3 2
Direct
0.1553 0.1553 0.3282
0.8447 0.8447 0.6718
0.3886 0.3886 0.0623
0.5000 0.5000 0.5000
0.6114 0.6114 0.9377
0.1867 0.1867 0.7420
0.8133 0.8133 0.2580
```

Values from the calculation:
Density ... 9.48 g cm⁻³
ΔH_f (0 K) ... -0.168 eV/atom
Symmetry ... No. 12
Fermi-level density of states ... 7.6 states/eV/cell
Energy relative to the lowest polymorph listed for this composition ... 0 meV/atom



No. 4
A relaxed RbPrTeS crystal. Source: the Alexandria database, functional PBE.

The structure in POSCAR format:
```
RbPrTeS
1.0
2.2090 1.2754 8.4052
-2.2090 1.2754 8.4052
0.0000 -2.5507 8.4052
Rb Pr Te S
1 1 1 1
Direct
0.0000 0.0000 0.0000
0.1563 0.1563 0.1563
0.5665 0.5665 0.5665
0.7666 0.7666 0.7666
```

Values from the calculation:
Density ... 4.51 g cm⁻³
Formation energy (no corrections) ... -1.5554 eV/atom
Symmetry ... No. 160
Fermi-level density of states ... 0.0 states/eV/cell



No. 5
A relaxed NaSi2Au2 crystal. Source: the Alexandria database, functional PBE.

The structure in POSCAR format:
```
NaSi2Au2
1.0
8.0970 0.0000 0.0000
0.0000 8.0970 0.0000
0.0000 0.0000 2.8370
Na Si Au
2 4 4
Direct
0.0000 0.0000 0.0000
0.5000 0.5000 0.0000
0.1430 0.3570 0.5000
0.3570 0.8570 0.5000
0.6430 0.1430 0.5000
0.8570 0.6430 0.5000
0.1546 0.6546 0.0000
0.3454 0.1546 0.0000
0.6546 0.8454 0.0000
0.8454 0.3454 0.0000
```

Values from the calculation:
Density ... 8.45 g cm⁻³
Formation energy (no corrections) ... 0.0757 eV/atom
Symmetry ... No. 127
Fermi-level density of states ... 4.1 states/eV/cell
Energy relative to the lowest polymorph listed for this composition ... 237 meV/atom



No. 6
A relaxed CaRu4Rh crystal. Source: the Alexandria database, functional PBE.

The structure in POSCAR format:
```
CaRu4Rh
1.0
0.0000 3.6631 3.6631
3.6631 0.0000 3.6631
3.6631 3.6631 0.0000
Ca Ru Rh
1 4 1
Direct
0.0000 0.0000 0.0000
0.3756 0.3756 0.3756
0.3756 0.3756 0.8733
0.3756 0.8733 0.3756
0.8733 0.3756 0.3756
0.7500 0.7500 0.7500
```

Values from the calculation:
Density ... 9.24 g cm⁻³
ΔH_f (0 K) ... 0.385 eV/atom
Symmetry ... No. 216
Fermi-level density of states ... 10.1 states/eV/cell



No. 7
A relaxed PaInRh3 crystal. Source: the Alexandria database, functional PBE.

The structure in POSCAR format:
```
PaInRh3
1.0
7.1791 -2.1714 0.0000
7.1791 2.1714 0.0000
-2.0000 0.0000 7.0811
Pa In Rh
2 2 6
Direct
0.1088 0.1088 0.3486
0.8912 0.8912 0.6514
0.3851 0.3851 0.1753
0.6149 0.6149 0.8247
0.1887 0.1887 0.0705
0.3106 0.3106 0.4658
0.4270 0.4270 0.8380
0.5730 0.5730 0.1620
0.6894 0.6894 0.5342
0.8113 0.8113 0.9295
```

Values from the calculation:
Density ... 9.85 g cm⁻³
ΔH_f (0 K) ... -0.314 eV/atom
Symmetry ... No. 12
Fermi-level density of states ... 5.1 states/eV/cell



No. 8
A relaxed TiTl3N crystal. Source: the Alexandria database, functional PBE.

The structure in POSCAR format:
```
TiTl3N
1.0
5.4122 0.0000 0.0000
0.0000 5.4122 0.0000
0.0000 0.0000 5.4122
Ti Tl N
1 3 1
Direct
0.0000 0.0000 0.0000
0.0000 0.0000 0.5000
0.0000 0.5000 0.0000
0.5000 0.0000 0.0000
0.5000 0.5000 0.5000
```

Values from the calculation:
Density ... 7.07 g cm⁻³
Formation energy (no corrections) ... 1.6072 eV/atom
Symmetry ... No. 221
Fermi-level density of states ... 6.3 states/eV/cell
Energy relative to the lowest polymorph listed for this composition ... 546 meV/atom



> Among the records above, which one has the lowest Fermi-level density of states?

RbPrTeS